(1)
This record from Alexandria describes BeHgRu2Au at its PBEsol-relaxed geometry. The functional is meta-GGA SCAN. Values from VASP.

- energy relative to the elements (eV/atom) = 2.26
- crystal system = tetragonal

```
&SYSTEM
  ibrav = 0, nat = 5, ntyp = 4
/
ATOMIC_SPECIES
Ru 101.07 Ru.upf
Au 196.97 Au.upf
Hg 200.59 Hg.upf
Be 9.01 Be.upf
CELL_PARAMETERS angstrom
-4.0436 2.7437 0.4999
0.2554 -0.5124 4.8786
2.8031 4.0799 0.2817
ATOMIC_POSITIONS crystal
Ru 0.0000 0.5000 0.0000
Ru 0.5000 0.0000 0.0000
Au 0.0000 0.0000 0.5000
Hg 0.0000 0.0000 0.0000
Be 0.5000 0.5000 0.5000
```

---

(2)
This record from Alexandria describes Be2InAuI at its PBEsol-relaxed geometry. The functional is meta-GGA SCAN. Values from VASP.

- formation energy from raw total energies (eV/atom) = 0.9343
- crystal system = tetragonal

```
&SYSTEM
  ibrav = 0, nat = 5, ntyp = 4
/
ATOMIC_SPECIES
I 126.90 I.upf
Be 9.01 Be.upf
Au 196.97 Au.upf
In 114.82 In.upf
CELL_PARAMETERS angstrom
4.5027 0.0000 0.0000
0.0000 4.5027 0.0000
0.0000 0.0000 6.1639
ATOMIC_POSITIONS crystal
I 0.0000 0.0000 0.5000
Be 0.0000 0.5000 0.0000
Be 0.5000 0.0000 0.0000
Au 0.5000 0.5000 0.5000
In 0.0000 0.0000 0.0000
```

---

(3)
This record from Alexandria describes BeRuAu2I at its PBEsol-relaxed geometry. The functional is meta-GGA SCAN. Values from VASP.

- formation energy from raw total energies (eV/atom) = 0.8982
- crystal system = tetragonal

```
&SYSTEM
  ibrav = 0, nat = 5, ntyp = 4
/
ATOMIC_SPECIES
I 126.90 I.upf
Ru 101.07 Ru.upf
Au 196.97 Au.upf
Be 9.01 Be.upf
CELL_PARAMETERS angstrom
-1.4722 -3.9873 -0.4534
1.2358 -0.9099 3.9895
-4.3915 1.4296 1.6864
ATOMIC_POSITIONS crystal
I 0.0000 0.0000 0.5000
Ru 0.5000 0.5000 0.5000
Au 0.0000 0.5000 0.0000
Au 0.5000 0.0000 0.0000
Be 0.0000 0.0000 0.0000
```

---

(4)
This record from Alexandria describes BeSnAuI2 at its PBEsol-relaxed geometry. The functional is meta-GGA SCAN. Values from VASP.

- formation energy from raw total energies (eV/atom) = 0.4422
- crystal system = tetragonal

```
&SYSTEM
  ibrav = 0, nat = 5, ntyp = 4
/
ATOMIC_SPECIES
I 126.90 I.upf
Be 9.01 Be.upf
Au 196.97 Au.upf
Sn 118.71 Sn.upf
CELL_PARAMETERS angstrom
4.3103 0.0000 0.0000
0.0000 5.7522 0.0000
0.0000 0.0000 5.7522
ATOMIC_POSITIONS crystal
I 0.0000 0.0000 0.5000
I 0.0000 0.5000 0.0000
Be 0.5000 0.0000 0.0000
Au 0.0000 0.0000 0.0000
Sn 0.5000 0.5000 0.5000
```

---

(5)
This record from Alexandria describes BeIn2Au at its PBEsol-relaxed geometry. The functional is meta-GGA SCAN. Values from VASP.

- energy relative to the elements (eV/atom) = 0.14
- crystal system = monoclinic

```
&SYSTEM
  ibrav = 0, nat = 4, ntyp = 3
/
ATOMIC_SPECIES
Be 9.01 Be.upf
Au 196.97 Au.upf
In 114.82 In.upf
CELL_PARAMETERS angstrom
-0.8160 -1.2439 -3.4218
-3.4574 -0.5934 3.0745
-1.0972 4.4698 -1.3633
ATOMIC_POSITIONS crystal
Be 0.0000 0.0000 0.5000
Au 0.5000 0.0000 0.0000
In 0.7595 0.5189 0.7418
In 0.2405 0.4811 0.2582
```

---

(6)
This record from Alexandria describes BeInAu4 at its PBEsol-relaxed geometry. The functional is meta-GGA SCAN. Values from VASP.

- energy relative to the elements (eV/atom) = 0.26
- crystal system = cubic

```
&SYSTEM
  ibrav = 0, nat = 6, ntyp = 3
/
ATOMIC_SPECIES
Au 196.97 Au.upf
Be 9.01 Be.upf
In 114.82 In.upf
CELL_PARAMETERS angstrom
-2.4574 -4.7300 0.8380
2.1532 -4.5433 -1.9586
2.1826 -3.6168 3.3569
ATOMIC_POSITIONS crystal
Au 0.3753 0.3753 0.3753
Au 0.3753 0.3753 0.8742
Au 0.8742 0.3753 0.3753
Au 0.3753 0.8742 0.3753
Be 0.7500 0.7500 0.7500
In 0.0000 0.0000 0.0000
```

---

(7)
This record from Alexandria describes BeInAu2 at its PBEsol-relaxed geometry. The functional is meta-GGA SCAN. Values from VASP.

- energy relative to the elements (eV/atom) = -0.01
- energy relative to the lowest polymorph listed for this composition (eV per atom) = 0.0000
- crystal system = cubic

```
&SYSTEM
  ibrav = 0, nat = 4, ntyp = 3
/
ATOMIC_SPECIES
Be 9.01 Be.upf
Au 196.97 Au.upf
In 114.82 In.upf
CELL_PARAMETERS angstrom
-0.8368 0.4330 -4.4173
-2.1060 -3.3122 -2.2349
-4.2370 0.5918 -1.4485
ATOMIC_POSITIONS crystal
Be 0.0000 0.0000 0.0000
Au 0.7500 0.7500 0.7500
Au 0.2500 0.2500 0.2500
In 0.5000 0.5000 0.5000
```

---

(8)
This record from Alexandria describes BeInAu2 at its PBEsol-relaxed geometry. The functional is meta-GGA SCAN. Values from VASP.

- energy relative to the elements (eV/atom) = 0.00
- energy relative to the lowest polymorph listed for this composition (eV per atom) = 0.0077
- crystal system = orthorhombic

```
&SYSTEM
  ibrav = 0, nat = 4, ntyp = 3
/
ATOMIC_SPECIES
Be 9.01 Be.upf
Au 196.97 Au.upf
In 114.82 In.upf
CELL_PARAMETERS angstrom
3.5552 0.0000 0.0000
0.0000 4.2911 0.0670
0.0000 -0.3895 4.2739
ATOMIC_POSITIONS crystal
Be 0.5000 0.0000 0.0000
Au 0.0000 0.5000 0.0000
Au 0.0000 0.0000 0.5000
In 0.5000 0.5000 0.5000
```

---

(9)
This record from Alexandria describes Be2InAu2 at its PBEsol-relaxed geometry. The functional is meta-GGA SCAN. Values from VASP.

- energy relative to the elements (eV/atom) = -0.25
- crystal system = tetragonal

```
&SYSTEM
  ibrav = 0, nat = 5, ntyp = 3
/
ATOMIC_SPECIES
Be 9.01 Be.upf
Au 196.97 Au.upf
In 114.82 In.upf
CELL_PARAMETERS angstrom
3.4832 0.0000 0.0000
0.0000 3.4832 0.0000
-1.7416 -1.7416 6.2994
ATOMIC_POSITIONS crystal
Be 0.2500 0.7500 0.5000
Be 0.7500 0.2500 0.5000
Au 0.3753 0.3753 0.7506
Au 0.6247 0.6247 0.2494
In 0.0000 0.0000 0.0000
```

---

(10)
This record from Alexandria describes BeIn2Au2 at its PBEsol-relaxed geometry. The functional is meta-GGA SCAN. Values from VASP.

- energy relative to the elements (eV/atom) = 0.29
- crystal system = tetragonal

```
&SYSTEM
  ibrav = 0, nat = 5, ntyp = 3
/
ATOMIC_SPECIES
Au 196.97 Au.upf
Be 9.01 Be.upf
In 114.82 In.upf
CELL_PARAMETERS angstrom
3.7290 0.0000 0.0000
0.0000 3.7290 0.0000
-1.8645 -1.8645 7.3901
ATOMIC_POSITIONS crystal
Au 0.2500 0.7500 0.5000
Au 0.7500 0.2500 0.5000
Be 0.0000 0.0000 0.0000
In 0.5979 0.5979 0.1959
In 0.4021 0.4021 0.8041
```

---

(11)
This record from Alexandria describes BeIn2Au at its PBEsol-relaxed geometry. The functional is meta-GGA SCAN. Values from VASP.

- energy relative to the elements (eV/atom) = 0.00
- crystal system = tetragonal

```
&SYSTEM
  ibrav = 0, nat = 4, ntyp = 3
/
ATOMIC_SPECIES
Be 9.01 Be.upf
Au 196.97 Au.upf
In 114.82 In.upf
CELL_PARAMETERS angstrom
3.0608 0.0000 0.0000
0.0000 3.0608 0.0000
0.0000 0.0000 8.1184
ATOMIC_POSITIONS crystal
Be 0.5000 0.5000 0.6962
Au 0.0000 0.0000 0.5693
In 0.0000 0.0000 0.9468
In 0.5000 0.5000 0.2878
```

---

(12)
This record from Alexandria describes BeIn2Au at its PBEsol-relaxed geometry. The functional is meta-GGA SCAN. Values from VASP.

- energy relative to the elements (eV/atom) = 0.16
- crystal system = orthorhombic

```
&SYSTEM
  ibrav = 0, nat = 4, ntyp = 3
/
ATOMIC_SPECIES
Be 9.01 Be.upf
Au 196.97 Au.upf
In 114.82 In.upf
CELL_PARAMETERS angstrom
3.6580 0.0000 0.0000
0.0000 4.6063 0.1048
0.0000 -1.5457 4.3405
ATOMIC_POSITIONS crystal
Be 0.5000 0.5000 0.5000
Au 0.5000 0.0000 0.0000
In 0.0000 0.5000 0.0000
In 0.0000 0.0000 0.5000
```

---

(13)
This record from Alexandria describes Be2InAu at its PBEsol-relaxed geometry. The functional is meta-GGA SCAN. Values from VASP.

- energy relative to the elements (eV/atom) = 0.07
- crystal system = tetragonal

```
&SYSTEM
  ibrav = 0, nat = 4, ntyp = 3
/
ATOMIC_SPECIES
Be 9.01 Be.upf
Au 196.97 Au.upf
In 114.82 In.upf
CELL_PARAMETERS angstrom
-1.2833 -2.6868 0.9444
2.4413 -1.5712 -1.1528
2.7596 0.4978 5.1657
ATOMIC_POSITIONS crystal
Be 0.0000 0.0000 0.6993
Be 0.0000 0.0000 0.3007
Au 0.5000 0.5000 0.5000
In 0.5000 0.5000 0.0000
```

---

(14)
This record from Alexandria describes BeInSi2Au at its PBEsol-relaxed geometry. The functional is meta-GGA SCAN. Values from VASP.

- formation energy from raw total energies (eV/atom) = 0.6514
- crystal system = tetragonal

```
&SYSTEM
  ibrav = 0, nat = 5, ntyp = 4
/
ATOMIC_SPECIES
Be 9.01 Be.upf
Si 28.09 Si.upf
Au 196.97 Au.upf
In 114.82 In.upf
CELL_PARAMETERS angstrom
4.2700 0.0000 0.0000
0.0000 4.2700 0.0000
0.0000 0.0000 4.8234
ATOMIC_POSITIONS crystal
Be 0.0000 0.0000 0.0000
Si 0.0000 0.5000 0.0000
Si 0.5000 0.0000 0.0000
Au 0.5000 0.5000 0.5000
In 0.0000 0.0000 0.5000
```

---

(15)
This record from Alexandria describes Be2TlInAu at its PBEsol-relaxed geometry. The functional is meta-GGA SCAN. Values from VASP.

- energy relative to the elements (eV/atom) = 0.27
- crystal system = tetragonal

```
&SYSTEM
  ibrav = 0, nat = 5, ntyp = 4
/
ATOMIC_SPECIES
Be 9.01 Be.upf
Tl 204.38 Tl.upf
Au 196.97 Au.upf
In 114.82 In.upf
CELL_PARAMETERS angstrom
-3.2108 0.6441 3.0574
-2.3994 -3.3165 -1.8210
2.3351 -3.4329 3.1754
ATOMIC_POSITIONS crystal
Be 0.0000 0.5000 0.0000
Be 0.5000 0.0000 0.0000
Tl 0.5000 0.5000 0.5000
Au 0.0000 0.0000 0.0000
In 0.0000 0.0000 0.5000
```

---

(16)
This record from Alexandria describes BeIr2Au at its PBEsol-relaxed geometry. The functional is meta-GGA SCAN. Values from VASP.

- energy relative to the elements (eV/atom) = 0.00
- crystal system = orthorhombic

```
&SYSTEM
  ibrav = 0, nat = 4, ntyp = 3
/
ATOMIC_SPECIES
Be 9.01 Be.upf
Ir 192.22 Ir.upf
Au 196.97 Au.upf
CELL_PARAMETERS angstrom
2.6878 -0.0027 0.0000
-1.2790 2.3639 0.0000
0.0000 0.0000 8.6324
ATOMIC_POSITIONS crystal
Be 0.5000 0.5000 0.0000
Ir 0.0000 0.0000 0.2111
Ir 0.0000 0.0000 0.7889
Au 0.5000 0.5000 0.5000
```

---

(17)
This record from Alexandria describes K2BeIrAu at its PBEsol-relaxed geometry. The functional is meta-GGA SCAN. Values from VASP.

- energy relative to the elements (eV/atom) = 0.58
- crystal system = tetragonal

```
&SYSTEM
  ibrav = 0, nat = 5, ntyp = 4
/
ATOMIC_SPECIES
Be 9.01 Be.upf
K 39.10 K.upf
Ir 192.22 Ir.upf
Au 196.97 Au.upf
CELL_PARAMETERS angstrom
-2.0682 3.2257 1.5435
-3.1378 0.3375 -4.9098
-3.9599 -3.6305 2.2812
ATOMIC_POSITIONS crystal
Be 0.0000 0.0000 0.0000
K 0.0000 0.0000 0.5000
K 0.0000 0.5000 0.0000
Ir 0.5000 0.0000 0.0000
Au 0.5000 0.5000 0.5000
```

---

(18)
This record from Alexandria describes Be2IrPtAu at its PBEsol-relaxed geometry. The functional is meta-GGA SCAN. Values from VASP.

- energy relative to the elements (eV/atom) = 0.61
- crystal system = tetragonal

```
&SYSTEM
  ibrav = 0, nat = 5, ntyp = 4
/
ATOMIC_SPECIES
Be 9.01 Be.upf
Ir 192.22 Ir.upf
Au 196.97 Au.upf
Pt 195.08 Pt.upf
CELL_PARAMETERS angstrom
-3.7334 -1.5494 0.7636
0.4622 -2.6482 -3.1137
1.9722 -3.2469 3.0543
ATOMIC_POSITIONS crystal
Be 0.0000 0.5000 0.0000
Be 0.5000 0.0000 0.0000
Ir 0.0000 0.0000 0.0000
Au 0.5000 0.5000 0.5000
Pt 0.0000 0.0000 0.5000
```

---

(19)
This record from Alexandria describes LaBeAu3 at its PBEsol-relaxed geometry. The functional is meta-GGA SCAN. Values from VASP.

- energy relative to the elements (eV/atom) = -0.70
- crystal system = cubic

```
&SYSTEM
  ibrav = 0, nat = 5, ntyp = 3
/
ATOMIC_SPECIES
Be 9.01 Be.upf
Au 196.97 Au.upf
La 138.91 La.upf
CELL_PARAMETERS angstrom
4.5874 0.0000 0.0000
0.0000 4.5874 0.0000
0.0000 0.0000 4.5874
ATOMIC_POSITIONS crystal
Be 0.0000 0.0000 0.0000
Au 0.0000 0.5000 0.0000
Au 0.0000 0.0000 0.5000
Au 0.5000 0.0000 0.0000
La 0.5000 0.5000 0.5000
```

---

(20)
This record from Alexandria describes La2BeAu at its PBEsol-relaxed geometry. The functional is meta-GGA SCAN. Values from VASP.

- energy relative to the elements (eV/atom) = -0.23
- crystal system = tetragonal

```
&SYSTEM
  ibrav = 0, nat = 4, ntyp = 3
/
ATOMIC_SPECIES
Be 9.01 Be.upf
Au 196.97 Au.upf
La 138.91 La.upf
CELL_PARAMETERS angstrom
-0.9039 3.7364 -1.9742
-3.6168 -1.7281 -1.6147
-0.2407 0.5001 5.7866
ATOMIC_POSITIONS crystal
Be 0.2500 0.7500 0.5000
Au 0.5000 0.5000 0.0000
La 0.0000 0.0000 0.0000
La 0.7500 0.2500 0.5000
```

---

Calculated values (Bohr magnetons per cell) of M_tot for the records, taken in order: 4.3, 0.0, 1.8, 0.0, 0.0, 0.0, 0.0, 0.0, 0.0, 0.0, 0.0, 0.0, 0.0, 0.0, 0.0, 0.0, 0.9, 0.8, 0.0, 0.0.
Calculated values (g/cm3) of density for the records, taken in order: 8.449, 6.069, 11.662, 6.736, 9.553, 13.629, 13.196, 13.168, 11.445, 10.222, 9.511, 9.811, 9.549, 7.118, 8.455, 17.885, 5.621, 12.125, 12.708, 8.699.
Calculated values (eV per cell) of total DFT energy (no corrections) for the records, taken in order: -200.05, -143.32, -209.74, -180.70, -139.73, -312.82, -176.09, -176.06, -181.63, -207.98, -140.30, -139.63, -110.97, -123.67, -182.25, -215.72, -158.39, -216.09, -258.43, -160.66.